No. 1
8
Lattice="1.9225 1.8559 1.7974 -3.5197 2.7092 0.9672 -1.2248 -3.2611 4.6773" Properties=species:S:1:pos:R:3 comment="HfBeNO, relaxed, DFT PBE" total_magnetization_mub_per_atom=0.131 relative_energy_mev_per_atom=430 pbc="T T T"
O -0.8040 1.3791 2.3211
O -3.2597 0.8808 5.4621
N -3.5533 1.1675 2.5950
Be -2.2370 0.1881 2.1984
N -2.1048 -1.0162 3.3006
Hf -1.6015 -0.5901 5.2073
Be -0.8083 -2.0479 2.9791
Hf -2.5521 2.9191 2.6006

No. 2
80
Lattice="-6.0109 6.0109 6.0109 6.0109 -6.0109 6.0109 6.0109 6.0109 -6.0109" Properties=species:S:1:pos:R:3 comment="Tb3Al5O12, relaxed, DFT PBE" total_magnetization_mub_per_atom=0.000 final_energy_ry_per_atom=-0.57863 pbc="T T T"
O 3.6209 2.6313 4.7918
Tb 6.0109 3.0055 -1.5027
O 5.6368 -0.6154 1.7863
Tb -1.5027 6.0109 3.0055
O 2.6313 7.2301 2.3901
O 2.6313 4.7918 3.6209
O 0.6154 7.7973 0.3742
Al 4.5082 0.0000 3.0055
O -1.7863 5.6368 5.3955
O 9.3906 -1.2192 2.3901
O 0.6154 4.2246 5.6368
O 1.7863 5.6368 -0.6154
O 3.3797 -1.2191 3.6209
O 3.6209 -3.3797 7.2301
Al 0.0000 6.0109 0.0000
O 6.3851 5.3955 4.2246
Al 3.0055 -3.0055 3.0055
Al 0.0000 9.0164 1.5027
O 3.3797 1.2191 2.3901
Tb 1.5027 0.0000 3.0055
Al 3.0055 1.5027 6.0109
Tb 3.0055 4.5082 6.0109
O -1.2192 8.4010 2.6313
O 4.2246 0.3742 6.6264
O 0.3742 0.6154 7.7973
Al 0.0000 0.0000 6.0109
O 5.6368 5.3955 -1.7863
Tb 6.0109 3.0055 4.5082
Al 4.5082 6.0109 -3.0055
Al 6.0109 -3.0055 4.5082
Tb 3.0055 7.5137 0.0000
O 3.6209 3.3797 -1.2191
Al -3.0055 3.0055 3.0055
O -3.3797 7.2301 3.6209
Al 1.5027 0.0000 9.0164
O 5.3955 1.7863 0.3742
O 1.7863 0.3742 5.3955
O 7.7973 0.3742 0.6154
Al 0.0000 0.0000 0.0000
O 4.7918 3.6209 2.6313
O 7.2301 2.3901 2.6313
O 5.3955 4.2246 6.3851
Al 1.5027 6.0109 3.0055
Tb 3.0055 1.5027 0.0000
O 1.2191 2.3901 3.3797
Al 3.0055 3.0055 3.0055
Tb 0.0000 3.0055 1.5027
Al 6.0109 0.0000 0.0000
O -0.6154 1.7863 5.6368
O 4.2246 6.3851 5.3955
O 2.3901 3.3797 1.2191
O 4.2246 5.6368 0.6154
O -1.2192 2.3901 9.3906
O 7.2301 -2.3901 3.3797
O 0.3742 5.3955 1.7863
Al 0.0000 3.0055 4.5082
Tb 3.0055 -1.5027 6.0109
O 8.4010 2.6313 -1.2192
O 2.3901 9.3906 -1.2192
Al 3.0055 3.0055 -3.0055
O 2.6313 -1.2192 8.4010
O 0.3742 6.6264 4.2246
Al -3.0055 4.5082 6.0109
O 3.3797 7.2301 -2.3901
O -2.3901 3.3797 7.2301
Tb 0.0000 3.0055 7.5137
O 5.6368 0.6154 4.2246
O 7.2301 3.6209 -3.3797
Al 9.0164 1.5027 0.0000
O 6.6264 4.2246 0.3742
O 1.7863 -0.3742 0.6154
O 0.6154 1.7863 -0.3742
Al 6.0109 3.0055 1.5027
Tb 7.5137 0.0000 3.0055
O -1.2191 3.6209 3.3797
O 2.3901 2.6313 7.2301
O -0.3742 0.6154 1.7863
O 5.3955 -1.7863 5.6368
Tb 4.5082 6.0109 3.0055
Al 3.0055 4.5082 0.0000

No. 3
12
Lattice="2.4562 1.4181 8.0730 -2.4562 1.4181 8.0730 0.0000 -2.8362 8.0730" Properties=species:S:1:pos:R:3 comment="DyEr2CoNi8, relaxed, DFT PBE" total_magnetization_mub_per_atom=0.136 delta_e_f_kcal_per_mol_atoms=-9.14 pbc="T T T"
Ni 1.2309 -0.7106 10.0713
Ni 0.0000 0.0000 8.0729
Er 0.0000 0.0000 20.8340
Dy 0.0000 0.0000 0.0000
Ni 0.0000 0.0000 16.1461
Ni -1.2309 -0.7106 10.0713
Co 0.0000 0.0000 12.1095
Ni 1.2309 0.7106 14.1478
Ni -1.2309 0.7106 14.1478
Ni 0.0000 1.4213 10.0713
Er 0.0000 0.0000 3.3851
Ni 0.0000 -1.4213 14.1478

No. 4
4
Lattice="4.3741 1.2756 1.0967 0.7416 3.1583 3.3820 1.8764 -1.3345 4.0818" Properties=species:S:1:pos:R:3 comment="MgCoSnHg, relaxed, DFT PBE" total_magnetization_mub_per_atom=0.001 relative_energy_mev_per_atom=0 pbc="T T T"
Co 5.2440 2.3246 6.4204
Sn 0.0000 0.0000 0.0000
Hg 3.4960 1.5497 4.2803
Mg 1.7480 0.7749 2.1401

No. 5
5
Lattice="-1.3037 3.5029 2.2645 -3.5908 -2.4859 0.1564 4.0570 -3.1033 4.4149" Properties=species:S:1:pos:R:3 comment="RbNiAs2Pd, relaxed, DFT PBE" total_magnetization_mub_per_atom=0.000 final_energy_ry_per_atom=-0.33967 pbc="T T T"
As -1.2151 -0.0798 1.5959
As 0.3883 -1.9783 5.2498
Rb 0.7228 1.9462 4.4701
Pd -3.1321 -1.2848 0.5792
Ni -1.7712 2.2787 1.8335

No. 6
8
Lattice="-0.6004 3.5688 0.0709 -2.2891 -2.1858 -1.7561 -8.5920 -1.7103 13.3286" Properties=species:S:1:pos:R:3 comment="YTmPbC, relaxed, DFT PBE" total_magnetization_mub_per_atom=0.003 final_energy_ry_per_atom=-0.47690 pbc="T T T"
Y -2.4462 -0.4109 -0.0301
Tm -5.3239 -0.9837 4.4340
C 0.0000 0.0000 0.0000
Pb -8.1472 -1.5457 8.8137
Pb -3.3342 1.2185 2.8297
C -4.2960 -0.8551 6.6643
Tm -6.1576 0.6565 7.2094
Y -9.0352 0.0836 11.6735

No. 7
3
Lattice="0.0000 2.9847 2.9847 2.9847 0.0000 2.9847 2.9847 2.9847 0.0000" Properties=species:S:1:pos:R:3 comment="NaFeIr, relaxed, DFT PBE" total_magnetization_mub_per_atom=1.320 relative_energy_mev_per_atom=0 pbc="T T T"
Na 4.4770 4.4770 4.4770
Fe 0.0000 0.0000 0.0000
Ir 1.4923 1.4923 1.4923

No. 8
4
Lattice="-2.4950 -2.9083 2.9728 -3.4440 -2.9121 -1.7833 0.7115 -4.7954 -0.1382" Properties=species:S:1:pos:R:3 comment="BaScIr2, relaxed, DFT PBE" total_magnetization_mub_per_atom=0.094 final_energy_ry_per_atom=-0.45451 pbc="T T T"
Sc 0.0000 0.0000 0.0000
Ba -3.9206 -7.9619 0.7885
Ir -1.3069 -2.6540 0.2628
Ir -2.6137 -5.3079 0.5257